This record from the Alexandria database describes a geometry-optimized Nd2SmHo structure. The functional is GGA-PBE.

Structure (CIF):
```
data_Nd2SmHo
_chemical_formula_sum 'Nd2 Sm1 Ho1'
_cell_length_a 5.1391
_cell_length_b 5.1391
_cell_length_c 5.1101
_cell_angle_alpha 90.00
_cell_angle_beta 90.00
_cell_angle_gamma 90.00
_space_group_name_H-M_alt 'P 4/m m m'
_space_group_IT_number 123
_space_group_name_Hall '-P 4 2'
loop_
_atom_site_label
_atom_site_type_symbol
_atom_site_fract_x
_atom_site_fract_y
_atom_site_fract_z
Nd1 Nd 0.0000 0.5000 0.0000
Sm1 Sm 0.0000 0.0000 0.5000
Ho1 Ho 0.5000 0.5000 0.5000
```

Properties
Total magnetic moment   0.000 Bohr magnetons per cell
DFT formation energy   0.017 eV/atom
E above lowest polymorph   0.003 eV/atom



This record from the Alexandria database describes a geometry-optimized ZrCdMo2 structure. The functional is GGA-PBE.

Structure (CIF):
```
data_ZrCdMo2
_chemical_formula_sum 'Zr2 Cd2 Mo4'
_cell_length_a 3.4477
_cell_length_b 4.7341
_cell_length_c 9.1596
_cell_angle_alpha 90.00
_cell_angle_beta 90.00
_cell_angle_gamma 90.00
_space_group_name_H-M_alt 'I m m 2'
_space_group_IT_number 44
loop_
_space_group_symop_operation_xyz
'x,y,z'
'-x,-y,z'
'-x,y,z'
'x,-y,z'
'x+1/2,y+1/2,z+1/2'
'-x+1/2,-y+1/2,z+1/2'
'-x+1/2,y+1/2,z+1/2'
'x+1/2,-y+1/2,z+1/2'
loop_
_atom_site_label
_atom_site_type_symbol
_atom_site_fract_x
_atom_site_fract_y
_atom_site_fract_z
Zr1 Zr 0.0000 0.0000 0.0000
Cd1 Cd 0.0000 0.5000 0.7752
Mo1 Mo 0.0000 0.0000 0.5413
Mo2 Mo 0.0000 0.5000 0.2463
```

Properties
Total magnetic moment   0.000 Bohr magnetons per cell
DFT formation energy   0.196 eV/atom



This record from the Alexandria database describes a geometry-optimized MgBeSi structure. The functional is GGA-PBE.

Structure (CIF):
```
data_MgBeSi
_chemical_formula_sum 'Mg2 Be2 Si2'
_cell_length_a 3.7885
_cell_length_b 3.7885
_cell_length_c 6.2834
_cell_angle_alpha 90.00
_cell_angle_beta 90.00
_cell_angle_gamma 90.00
_space_group_name_H-M_alt 'P 4/n m m'
_space_group_IT_number 129
loop_
_space_group_symop_operation_xyz
'x,y,z'
'-x,-y,-z'
'-y+1/2,x,z'
'y+1/2,-x,-z'
'-x+1/2,-y+1/2,z'
'x+1/2,y+1/2,-z'
'y,-x+1/2,z'
'-y,x+1/2,-z'
'x+1/2,-y,-z'
'-x+1/2,y,z'
'-y,-x,-z'
'y,x,z'
'-x,y+1/2,-z'
'x,-y+1/2,z'
'y+1/2,x+1/2,-z'
'-y+1/2,-x+1/2,z'
loop_
_atom_site_label
_atom_site_type_symbol
_atom_site_fract_x
_atom_site_fract_y
_atom_site_fract_z
Mg1 Mg 0.2500 0.2500 0.1577
Be1 Be 0.2500 0.7500 0.5000
Si1 Si 0.2500 0.2500 0.7196
```

Properties
Total magnetic moment   0.000 Bohr magnetons per cell
ΔE_f (raw)   0 meV per atom



This record from the Alexandria database describes a geometry-optimized Ti3B4PbO12 structure. The functional is GGA-PBE.

Structure (CIF):
```
data_Ti3B4PbO12
_chemical_formula_sum 'Ti9 B12 Pb3 O36'
_cell_length_a 9.7927
_cell_length_b 9.7927
_cell_length_c 7.7265
_cell_angle_alpha 90.00
_cell_angle_beta 90.00
_cell_angle_gamma 120.00
_space_group_name_H-M_alt 'R 3 2'
_space_group_IT_number 155
_space_group_name_Hall 'R 3 2"'
loop_
_atom_site_label
_atom_site_type_symbol
_atom_site_fract_x
_atom_site_fract_y
_atom_site_fract_z
Ti1 Ti 0.0000 0.5580 0.0000
B1 B 0.0000 0.0000 0.5000
B2 B 0.0000 0.4380 0.5000
Pb1 Pb 0.0000 0.0000 0.0000
O1 O 0.0000 0.5812 0.5000
O2 O 0.0000 0.8578 0.5000
O3 O 0.0328 0.2265 0.1942
```

Properties
Total magnetic moment   6.006 Bohr magnetons per cell
ΔE_f (raw)   -2487 meV per atom



This record from the Alexandria database describes a geometry-optimized BeZn2Te4 structure. The functional is GGA-PBE.

Structure (CIF):
```
data_BeZn2Te4
_chemical_formula_sum 'Be2 Zn4 Te8'
_cell_length_a 5.0685
_cell_length_b 5.0685
_cell_length_c 15.2456
_cell_angle_alpha 90.00
_cell_angle_beta 90.00
_cell_angle_gamma 90.00
_space_group_name_H-M_alt 'I 4/m m m'
_space_group_IT_number 139
_space_group_name_Hall '-I 4 2'
loop_
_atom_site_label
_atom_site_type_symbol
_atom_site_fract_x
_atom_site_fract_y
_atom_site_fract_z
Be1 Be 0.0000 0.0000 0.0000
Zn1 Zn 0.0000 0.0000 0.4113
Te1 Te 0.0000 0.0000 0.2445
Te2 Te 0.0000 0.5000 0.0000
```

Properties
Total magnetic moment   0.000 Bohr magnetons per cell
ΔE_f (raw)   93 meV per atom



This record from the Alexandria database describes a geometry-optimized Ti2ZnAs2 structure. The functional is GGA-PBE.

Structure (CIF):
```
data_Ti2ZnAs2
_chemical_formula_sum 'Ti4 Zn2 As4'
_cell_length_a 7.0633
_cell_length_b 7.0633
_cell_length_c 3.3923
_cell_angle_alpha 90.00
_cell_angle_beta 90.00
_cell_angle_gamma 90.00
_space_group_name_H-M_alt 'P 4/m b m'
_space_group_IT_number 127
_space_group_name_Hall '-P 4 2ab'
loop_
_atom_site_label
_atom_site_type_symbol
_atom_site_fract_x
_atom_site_fract_y
_atom_site_fract_z
Ti1 Ti 0.1421 0.3579 0.0000
Zn1 Zn 0.0000 0.0000 0.0000
As1 As 0.1537 0.6537 0.5000
```

Properties
Total magnetic moment   0.000 Bohr magnetons per cell
DFT formation energy   -0.530 eV/atom
E above lowest polymorph   0.000 eV/atom



This record from the Alexandria database describes a geometry-optimized Sm2Cd3Au3 structure. The functional is GGA-PBE.

Structure (CIF):
```
data_Sm2Cd3Au3
_chemical_formula_sum 'Sm6 Cd9 Au9'
_cell_length_a 5.0414
_cell_length_b 5.0414
_cell_length_c 24.5328
_cell_angle_alpha 90.00
_cell_angle_beta 90.00
_cell_angle_gamma 120.00
_space_group_name_H-M_alt 'R 3 m'
_space_group_IT_number 160
_space_group_name_Hall 'R 3 -2"'
loop_
_atom_site_label
_atom_site_type_symbol
_atom_site_fract_x
_atom_site_fract_y
_atom_site_fract_z
Sm1 Sm 0.0000 0.0000 0.0000
Sm2 Sm 0.0000 0.0000 0.4896
Cd1 Cd 0.0000 0.0000 0.2470
Cd2 Cd 0.0000 0.0000 0.7431
Cd3 Cd 0.0000 0.0000 0.8717
Au1 Au 0.0000 0.0000 0.1255
Au2 Au 0.0000 0.0000 0.3667
Au3 Au 0.0000 0.0000 0.6159
```

Properties
Total magnetic moment   0.000 Bohr magnetons per cell
DFT formation energy   -0.567 eV/atom



This record from the Alexandria database describes a geometry-optimized CaIrPdO4 structure. The functional is GGA-PBE.

Structure (CIF):
```
data_CaIrPdO4
_chemical_formula_sum 'Ca4 Ir4 Pd4 O16'
_cell_length_a 6.0680
_cell_length_b 6.2635
_cell_length_c 10.2778
_cell_angle_alpha 90.00
_cell_angle_beta 90.00
_cell_angle_gamma 90.00
_space_group_name_H-M_alt 'I m m a'
_space_group_IT_number 74
_space_group_name_Hall '-I 2b 2'
loop_
_atom_site_label
_atom_site_type_symbol
_atom_site_fract_x
_atom_site_fract_y
_atom_site_fract_z
Ca1 Ca 0.0000 0.2500 0.1604
Ir1 Ir 0.0000 0.0000 0.5000
Pd1 Pd 0.2500 0.2500 0.7500
O1 O 0.0000 0.0397 0.6969
O2 O 0.2023 0.2500 0.4663
```

Properties
Total magnetic moment   0.002 Bohr magnetons per cell
ΔE_f (raw)   -1216 meV per atom



Which value of total magnetic moment does entry 8 give?
0.002 Bohr magnetons per cell



Which of these has the highest total magnetic moment?
Ti3B4PbO12



Copy entry 3 word for word.
This record from the Alexandria database describes a geometry-optimized MgBeSi structure. The functional is GGA-PBE.

Structure (CIF):
```
data_MgBeSi
_chemical_formula_sum 'Mg2 Be2 Si2'
_cell_length_a 3.7885
_cell_length_b 3.7885
_cell_length_c 6.2834
_cell_angle_alpha 90.00
_cell_angle_beta 90.00
_cell_angle_gamma 90.00
_space_group_name_H-M_alt 'P 4/n m m'
_space_group_IT_number 129
loop_
_space_group_symop_operation_xyz
'x,y,z'
'-x,-y,-z'
'-y+1/2,x,z'
'y+1/2,-x,-z'
'-x+1/2,-y+1/2,z'
'x+1/2,y+1/2,-z'
'y,-x+1/2,z'
'-y,x+1/2,-z'
'x+1/2,-y,-z'
'-x+1/2,y,z'
'-y,-x,-z'
'y,x,z'
'-x,y+1/2,-z'
'x,-y+1/2,z'
'y+1/2,x+1/2,-z'
'-y+1/2,-x+1/2,z'
loop_
_atom_site_label
_atom_site_type_symbol
_atom_site_fract_x
_atom_site_fract_y
_atom_site_fract_z
Mg1 Mg 0.2500 0.2500 0.1577
Be1 Be 0.2500 0.7500 0.5000
Si1 Si 0.2500 0.2500 0.7196
```

Properties
Total magnetic moment   0.000 Bohr magnetons per cell
ΔE_f (raw)   0 meV per atom